# 1
Density functional theory data (PBE) for an optimized crystal structure of CrBr.

Properties
- total DFT energy (no corrections) (eV/atom) = -5.460
- energy relative to the elements, uncorrected (meV/atom) = 188

Cell: 6.192 6.192 6.192 Å, 90.00 90.00 90.00°
Fractional positions:
Cr1 0.250 0.250 0.250
Cr2 0.250 0.750 0.750
Cr3 0.750 0.250 0.750
Cr4 0.750 0.750 0.250
Br1 0.000 0.000 0.000
Br2 0.000 0.500 0.500
Br3 0.500 0.000 0.500
Br4 0.500 0.500 0.000

***

# 2
Density functional theory data (PBE) for an optimized crystal structure of TaCoW2.

Properties
- total DFT energy (no corrections) (eV/atom) = -11.067
- offset from the most stable computed form (eV/f.u.) = 0.49

Cell: 4.496 2.730 5.127 Å, 80.55 90.00 90.00°
Fractional positions:
Co1 0.500 0.250 0.250
Ta1 0.500 0.750 0.750
W1 0.000 0.007 0.003
W2 0.000 0.493 0.497

***

# 3
Density functional theory data (PBE) for an optimized crystal structure of Ac2Ag3Pb.

Properties
- total DFT energy (no corrections) (eV/atom) = -3.758
- offset from the most stable computed form (eV/f.u.) = 0.00

Cell: 3.945 4.928 8.870 Å, 90.00 90.00 90.00°
Fractional positions:
Ac1 0.000 0.500 0.987
Ac2 0.000 0.000 0.517
Ag1 0.500 0.000 0.835
Ag2 0.500 0.000 0.155
Ag3 0.500 0.500 0.673
Pb1 0.500 0.500 0.332

***

# 4
Density functional theory data (PBE) for an optimized crystal structure of Al2IrW2.

Properties
- total DFT energy (no corrections) (eV/atom) = -8.056
- offset from the most stable computed form (eV/f.u.) = 1.85

Cell: 7.283 7.283 3.042 Å, 90.00 90.00 90.00°
Fractional positions:
Ir1 0.000 0.000 0.000
Ir2 0.500 0.500 0.000
Al1 0.182 0.682 0.500
Al2 0.682 0.818 0.500
Al3 0.818 0.318 0.500
Al4 0.318 0.182 0.500
W1 0.382 0.882 0.000
W2 0.882 0.618 0.000
W3 0.618 0.118 0.000
W4 0.118 0.382 0.000

***

# 5
Density functional theory data (PBE) for an optimized crystal structure of RePb2F.

Properties
- total DFT energy (no corrections) (eV/atom) = -5.147
- offset from the most stable computed form (eV/f.u.) = 0.00
- energy relative to the elements, uncorrected (meV/atom) = 287

Cell: 4.898 4.898 4.898 Å, 60.00 60.00 60.00°
Fractional positions:
Pb1 0.250 0.250 0.250
Pb2 0.750 0.750 0.750
Re1 0.500 0.500 0.500
F1 0.000 0.000 0.000

***

# 6
Density functional theory data (PBE) for an optimized crystal structure of SnGe2Pb2.

Properties
- total DFT energy (no corrections) (eV/atom) = -3.968
- offset from the most stable computed form (eV/f.u.) = 0.03

Cell: 3.736 3.736 10.101 Å, 79.34 79.34 90.00°
Fractional positions:
Pb1 0.389 0.389 0.223
Pb2 0.611 0.611 0.777
Ge1 0.750 0.250 0.500
Ge2 0.250 0.750 0.500
Sn1 0.000 0.000 0.000

***

# 7
Density functional theory data (PBE) for an optimized crystal structure of Ho4AlTl2.

Properties
- total DFT energy (no corrections) (eV/atom) = -4.016
- offset from the most stable computed form (eV/f.u.) = 0.26

Cell: 5.195 5.195 9.012 Å, 73.25 73.25 60.00°
Fractional positions:
Tl1 0.754 0.754 0.738
Tl2 0.246 0.246 0.262
Ho1 0.876 0.876 0.372
Ho2 0.124 0.124 0.628
Ho3 0.624 0.624 0.127
Ho4 0.376 0.376 0.873
Al1 0.000 0.000 0.000

***

# 8
Density functional theory data (PBE) for an optimized crystal structure of Nd7Cd2Co2.

Properties
- total DFT energy (no corrections) (eV/atom) = -4.562

Cell: 3.744 9.671 9.671 Å, 67.39 78.84 78.84°
Fractional positions:
Nd1 0.857 0.036 0.251
Nd2 0.844 0.445 0.867
Nd3 0.500 0.098 0.902
Nd4 0.675 0.413 0.236
Nd5 0.325 0.764 0.587
Nd6 0.143 0.749 0.964
Nd7 0.156 0.133 0.555
Cd1 0.000 0.645 0.355
Cd2 0.500 0.409 0.591
Co1 0.689 0.892 0.729
Co2 0.311 0.271 0.108

***

# 9
Density functional theory data (PBE) for an optimized crystal structure of TbPrThSc.

Properties
- total DFT energy (no corrections) (eV/atom) = -5.747
- offset from the most stable computed form (eV/f.u.) = 0.00

Cell: 3.556 3.556 11.516 Å, 90.00 98.88 119.99°
Fractional positions:
Tb1 0.477 0.136 0.628
Pr1 0.963 0.380 0.358
Th1 0.308 0.552 0.876
Sc1 0.130 0.963 0.109

***

# 10
Density functional theory data (PBE) for an optimized crystal structure of Ca2TlSb.

Properties
- total DFT energy (no corrections) (eV/atom) = -3.258
- offset from the most stable computed form (eV/f.u.) = 0.11
- energy relative to the elements, uncorrected (meV/atom) = -635

Cell: 5.807 5.807 5.807 Å, 128.91 128.76 75.27°
Fractional positions:
Sb1 0.750 0.250 0.500
Tl1 0.250 0.750 0.500
Ca1 0.000 0.000 0.000
Ca2 0.500 0.500 0.000

***

# 11
Density functional theory data (PBE) for an optimized crystal structure of LaTmS.

Properties
- total DFT energy (no corrections) (eV/atom) = -5.747
- offset from the most stable computed form (eV/f.u.) = 0.08
- energy relative to the elements, uncorrected (meV/atom) = -1238

Cell: 6.600 3.853 3.853 Å, 120.00 90.00 90.00°
Fractional positions:
S1 0.017 0.000 0.000
Tm1 0.250 0.333 0.667
La1 0.734 0.667 0.333

***

# 12
Density functional theory data (PBE) for an optimized crystal structure of Sc4Zn5Ge6.

Properties
- total DFT energy (no corrections) (eV/atom) = -4.410

Cell: 4.107 9.272 14.793 Å, 90.00 90.00 102.80°
Fractional positions:
Sc1 0.968 0.935 0.264
Sc2 0.032 0.065 0.764
Sc3 0.165 0.329 0.303
Sc4 0.835 0.671 0.803
Sc5 0.827 0.654 0.442
Sc6 0.173 0.346 0.942
Sc7 0.017 0.035 0.498
Sc8 0.983 0.965 0.998
Zn1 0.434 0.868 0.688
Zn2 0.566 0.132 0.188
Zn3 0.152 0.304 0.626
Zn4 0.848 0.696 0.126
Zn5 0.651 0.302 0.482
Zn6 0.349 0.698 0.982
Zn7 0.301 0.603 0.622
Zn8 0.699 0.397 0.122
Zn9 0.345 0.690 0.274
Zn10 0.655 0.310 0.774
Ge1 0.767 0.534 0.269
Ge2 0.430 0.860 0.413
Ge3 0.772 0.544 0.979
Ge4 0.228 0.456 0.479
Ge5 0.440 0.881 0.856
Ge6 0.560 0.119 0.356
Ge7 0.436 0.871 0.129
Ge8 0.564 0.129 0.629
Ge9 0.111 0.222 0.112
Ge10 0.889 0.778 0.612
Ge11 0.570 0.140 0.913
Ge12 0.233 0.466 0.769

***

# 13
Density functional theory data (PBE) for an optimized crystal structure of LaY2Ho9.

Properties
- total DFT energy (no corrections) (eV/atom) = -4.879
- offset from the most stable computed form (eV/f.u.) = 0.16

Cell: 3.510 11.250 11.250 Å, 120.00 90.00 90.00°
Fractional positions:
La1 0.000 0.000 0.000
Y1 0.000 0.333 0.667
Y2 0.000 0.667 0.333
Ho1 0.000 0.000 0.500
Ho2 0.000 0.500 0.500
Ho3 0.000 0.500 0.000
Ho4 0.500 0.357 0.178
Ho5 0.500 0.178 0.822
Ho6 0.500 0.178 0.357
Ho7 0.500 0.822 0.643
Ho8 0.500 0.822 0.178
Ho9 0.500 0.643 0.822

***

# 14
Density functional theory data (PBE) for an optimized crystal structure of CaGaAgAu.

Properties
- total DFT energy (no corrections) (eV/atom) = -3.193

Cell: 4.125 4.125 10.238 Å, 90.00 90.00 90.00°
Fractional positions:
Ca1 0.000 0.500 0.787
Ca2 0.500 0.000 0.213
Ga1 0.000 0.500 0.334
Ga2 0.500 0.000 0.666
Ag1 0.000 0.000 0.500
Ag2 0.500 0.500 0.500
Au1 0.500 0.000 0.918
Au2 0.000 0.500 0.082

***

# 15
Density functional theory data (PBE) for an optimized crystal structure of SiPPb2Cl.

Properties
- total DFT energy (no corrections) (eV/atom) = -3.817
- energy relative to the elements, uncorrected (meV/atom) = 202

Cell: 5.645 4.447 5.645 Å, 90.00 90.00 90.00°
Fractional positions:
Pb1 0.000 0.000 0.500
Pb2 0.500 0.000 0.000
P1 0.000 0.500 0.000
Si1 0.000 0.000 0.000
Cl1 0.500 0.500 0.500

***

# 16
Density functional theory data (PBE) for an optimized crystal structure of CsY4Cl12.

Properties
- total DFT energy (no corrections) (eV/atom) = -5.040
- energy relative to the elements, uncorrected (meV/atom) = -2166

Cell: 9.035 9.035 9.035 Å, 109.48 109.50 109.44°
Fractional positions:
Cs1 0.000 0.500 0.500
Y1 0.500 0.000 0.000
Y2 0.000 0.500 0.000
Y3 0.000 0.000 0.500
Y4 0.500 0.500 0.500
Cl1 0.285 0.705 0.990
Cl2 0.079 0.784 0.295
Cl3 0.489 0.784 0.705
Cl4 0.204 0.989 0.784
Cl5 0.796 0.580 0.784
Cl6 0.285 0.295 0.580
Cl7 0.715 0.705 0.420
Cl8 0.796 0.011 0.216
Cl9 0.204 0.420 0.216
Cl10 0.511 0.216 0.295
Cl11 0.921 0.216 0.705
Cl12 0.715 0.295 0.010

***

# 17
Density functional theory data (PBE) for an optimized crystal structure of K3Cd2In5.

Properties
- total DFT energy (no corrections) (eV/atom) = -1.960

Cell: 7.112 10.395 10.395 Å, 78.66 70.00 70.00°
Fractional positions:
K1 0.250 0.000 0.000
K2 0.750 0.000 0.000
K3 0.384 0.381 0.851
K4 0.616 0.619 0.149
K5 0.884 0.851 0.381
K6 0.116 0.149 0.619
Cd1 0.158 0.690 0.994
Cd2 0.842 0.310 0.006
Cd3 0.658 0.994 0.690
Cd4 0.342 0.006 0.310
In1 0.250 0.500 0.500
In2 0.750 0.500 0.500
In3 0.502 0.748 0.748
In4 0.998 0.252 0.252
In5 0.498 0.252 0.252
In6 0.002 0.748 0.748
In7 0.126 0.506 0.241
In8 0.874 0.494 0.759
In9 0.626 0.241 0.506
In10 0.374 0.759 0.494

***

# 18
Density functional theory data (PBE) for an optimized crystal structure of Rb2TbCd2S4.

Properties
- total DFT energy (no corrections) (eV/atom) = -3.896
- energy relative to the elements, uncorrected (meV/atom) = -1128

Cell: 4.052 8.297 8.473 Å, 113.03 103.83 90.00°
Fractional positions:
Rb1 0.126 0.556 0.252
Rb2 0.874 0.444 0.748
Tb1 0.000 0.000 0.000
Cd1 0.686 0.021 0.371
Cd2 0.314 0.979 0.629
S1 0.183 0.217 0.366
S2 0.817 0.783 0.634
S3 0.524 0.788 0.048
S4 0.476 0.212 0.952

***

# 19
Density functional theory data (PBE) for an optimized crystal structure of Li2CuN.

Properties
- total DFT energy (no corrections) (eV/atom) = -4.372
- energy relative to the elements, uncorrected (meV/atom) = -309

Cell: 4.813 5.307 6.805 Å, 90.00 90.00 90.00°
Fractional positions:
Li1 0.203 0.641 0.079
Li2 0.297 0.141 0.421
Li3 0.797 0.359 0.579
Li4 0.703 0.859 0.921
Li5 0.797 0.359 0.921
Li6 0.703 0.859 0.579
Li7 0.203 0.641 0.421
Li8 0.297 0.141 0.079
Cu1 0.725 0.591 0.250
Cu2 0.775 0.091 0.250
Cu3 0.275 0.409 0.750
Cu4 0.225 0.909 0.750
N1 0.023 0.357 0.250
N2 0.477 0.857 0.250
N3 0.977 0.643 0.750
N4 0.523 0.143 0.750

***

# 20
Density functional theory data (PBE) for an optimized crystal structure of GaSb3Au.

Properties
- total DFT energy (no corrections) (eV/atom) = -2.993
- offset from the most stable computed form (eV/f.u.) = 0.83
- energy relative to the elements, uncorrected (meV/atom) = 742

Cell: 5.257 5.257 5.257 Å, 90.00 90.00 90.00°
Fractional positions:
Sb1 0.000 0.500 0.000
Sb2 0.000 0.000 0.500
Sb3 0.500 0.000 0.000
Au1 0.500 0.500 0.500
Ga1 0.000 0.000 0.000

***

# 21
Density functional theory data (PBE) for an optimized crystal structure of MgZrP.

Properties
- total DFT energy (no corrections) (eV/atom) = -5.040
- offset from the most stable computed form (eV/f.u.) = 1.96

Cell: 4.509 4.509 4.509 Å, 60.00 60.00 60.00°
Fractional positions:
Mg1 0.000 0.000 0.000
P1 0.500 0.500 0.500
Zr1 0.750 0.750 0.750

***

# 22
Density functional theory data (PBE) for an optimized crystal structure of Cs5K5Tl.

Properties
- total DFT energy (no corrections) (eV/atom) = -1.056

Cell: 7.767 10.376 13.454 Å, 112.68 106.78 90.00°
Fractional positions:
Cs1 0.291 0.791 0.582
Cs2 0.352 0.352 0.705
Cs3 0.000 0.500 0.000
Cs4 0.648 0.648 0.295
Cs5 0.709 0.209 0.418
K1 0.130 0.929 0.259
K2 0.130 0.330 0.259
K3 0.500 0.000 0.000
K4 0.870 0.670 0.741
K5 0.870 0.071 0.741
Tl1 0.000 0.000 0.000

***

# 23
Density functional theory data (PBE) for an optimized crystal structure of AlSb3.

Properties
- total DFT energy (no corrections) (eV/atom) = -3.742
- offset from the most stable computed form (eV/f.u.) = 0.93
- energy relative to the elements, uncorrected (meV/atom) = 285

Cell: 4.682 4.682 4.682 Å, 90.00 90.00 90.00°
Fractional positions:
Sb1 0.000 0.500 0.500
Sb2 0.500 0.000 0.500
Sb3 0.500 0.500 0.000
Al1 0.000 0.000 0.000